Record 1
Density functional theory data (meta-GGA SCAN) for a PBEsol-optimized structure of BaYCo2.

Results
V = 19.5 Å³/atom
Polymorph energy (0 for the lowest one) = 0.000 eV/f.u.

Structure (POSCAR):
```
BaYCo2
1.0
4.7954 0.0000 0.0000
2.3977 4.1530 0.0000
2.3977 1.3843 3.9154
Co Y Ba
2 1 1
Cartesian
0.0000 0.0000 0.0000
7.1931 4.1530 2.9366
2.3977 1.3843 0.9789
4.7954 2.7686 1.9577
```

***

Record 2
Density functional theory data (meta-GGA SCAN) for a PBEsol-optimized structure of Ba2YCo.

Results
V = 31.1 Å³/atom
Polymorph energy (0 for the lowest one) = 0.274 eV/f.u.

Structure (POSCAR):
```
Ba2YCo
1.0
-4.2589 -3.5775 0.6737
-0.3248 -3.1272 4.6374
-3.9651 1.0517 3.8160
Ba Co Y
2 1 1
Cartesian
-6.4116 -4.2397 6.8453
-2.1372 -1.4132 2.2818
0.0000 0.0000 0.0000
-4.2744 -2.8265 4.5635
```

***

Record 3
Density functional theory data (meta-GGA SCAN) for a PBEsol-optimized structure of BaZnCo.

Results
Total energy = -22.53 eV per atom
V = 30.7 Å³/atom

Structure (POSCAR):
```
BaZnCo
1.0
5.0671 0.0000 0.0000
2.5335 4.3882 0.0000
2.5335 1.4627 4.1372
Co Zn Ba
1 1 1
Cartesian
0.0000 0.0000 0.0000
5.0671 2.9255 2.0686
2.5335 1.4627 1.0343
```

***

Record 4
Density functional theory data (meta-GGA SCAN) for a PBEsol-optimized structure of BaZrCo2.

Results
Total energy = -25.85 eV per atom
V = 20.7 Å³/atom

Structure (POSCAR):
```
BaZrCo2
1.0
-0.7935 -2.6059 1.6976
1.2609 -1.8711 -2.2828
7.1020 0.2561 3.7129
Ba Co Zr
1 2 1
Cartesian
5.9064 -2.0340 2.6730
0.6933 0.0250 0.3624
1.7219 -2.1848 0.4854
2.7988 0.1009 1.4632
```

***

Record 5
Density functional theory data (meta-GGA SCAN) for a PBEsol-optimized structure of Ba2Cr.

Results
V = 41.5 Å³/atom
Polymorph energy (0 for the lowest one) = 0.000 eV/f.u.

Structure (POSCAR):
```
Ba2Cr
1.0
-5.8244 -1.2242 -3.2647
-3.9843 -5.3053 2.0403
-5.8316 3.0547 2.2011
Ba Cr
4 2
Cartesian
-11.7177 -1.1119 0.1499
-8.1820 -3.3215 1.7280
-7.4583 -0.1534 -0.7512
-3.9226 -2.3629 0.8268
-4.3683 -0.9182 -2.4485
-1.4561 -0.3061 -0.8162
```

***

Record 6
Density functional theory data (meta-GGA SCAN) for a PBEsol-optimized structure of Ba3Cr.

Results
Total energy = -33.99 eV per atom
V = 45.6 Å³/atom

Structure (POSCAR):
```
Ba3Cr
1.0
-0.3488 4.1113 -0.5716
-4.1498 -0.3585 -0.0463
-0.2393 1.4258 10.4006
Cr Ba
1 3
Cartesian
-2.2493 1.8764 -0.3090
-0.1949 1.1613 8.4714
-2.3689 2.5893 4.8913
-0.0444 0.2645 1.9292
```

***

Record 7
Density functional theory data (meta-GGA SCAN) for a PBEsol-optimized structure of Ba2Cr.

Results
V = 46.1 Å³/atom
Polymorph energy (0 for the lowest one) = 0.115 eV/f.u.

Structure (POSCAR):
```
Ba2Cr
1.0
5.8041 0.0000 0.0000
2.9021 5.0265 0.0000
2.9021 1.6755 4.7390
Ba Cr
2 1
Cartesian
8.7062 5.0265 3.5543
2.9021 1.6755 1.1848
0.0000 0.0000 0.0000
```

***

Record 8
Density functional theory data (meta-GGA SCAN) for a PBEsol-optimized structure of BaCr2.

Results
V = 23.9 Å³/atom
Polymorph energy (0 for the lowest one) = 0.875 eV/f.u.

Structure (POSCAR):
```
BaCr2
1.0
4.7570 0.0000 0.0000
0.0000 4.7570 0.0000
-2.3785 -2.3785 6.3476
Ba Cr
2 4
Cartesian
0.0000 2.3785 3.1738
0.0000 0.0000 0.0000
0.0000 0.0000 5.4448
2.3785 0.0000 2.2710
2.3785 2.3785 0.9028
2.3785 0.0000 4.0766
```

***

Record 9
Density functional theory data (meta-GGA SCAN) for a PBEsol-optimized structure of BaCr2.

Results
V = 19.8 Å³/atom
Polymorph energy (0 for the lowest one) = 0.000 eV/f.u.

Structure (POSCAR):
```
BaCr2
1.0
3.1158 0.0000 0.0000
0.0000 3.1136 0.0000
-1.5579 -1.5568 6.1333
Cr Ba
2 1
Cartesian
0.0000 0.0000 3.3955
1.5579 1.5568 2.7379
0.0000 0.0000 0.0000
```

***

Record 10
Density functional theory data (meta-GGA SCAN) for a PBEsol-optimized structure of Ba3Cr.

Results
Total energy = -33.88 eV per atom
V = 43.6 Å³/atom

Structure (POSCAR):
```
Ba3Cr
1.0
5.5871 0.0000 0.0000
0.0000 5.5871 0.0000
0.0000 0.0000 5.5871
Ba Cr
3 1
Cartesian
2.7935 2.7935 0.0000
2.7935 0.0000 2.7935
0.0000 2.7935 2.7935
0.0000 0.0000 0.0000
```